! PBE-GGA AlRe2Hg, relaxed; values from VASP
&SYSTEM
  ibrav = 0, nat = 4, ntyp = 3
/
ATOMIC_SPECIES
Al 26.98 Al.upf
Hg 200.59 Hg.upf
Re 186.21 Re.upf
CELL_PARAMETERS angstrom
0.000 3.179 3.179
3.179 0.000 3.179
3.179 3.179 0.000
ATOMIC_POSITIONS crystal
Al 0.500 0.500 0.500
Hg 0.250 0.250 0.250
Re 0.000 0.000 0.000
Re 0.750 0.750 0.750
! Volume in Å³/cell: 64.3
! Symmetry: F-43m
! Uncorrected energy in eV per atom: -6.656